Here is crystalline CaTlCo2Br8 at its relaxed geometry from the Alexandria database. Energies are from GGA-PBE.

Calculated values
total magnetization	7.00	μB per formula unit
DOS(E_F)	12.9	states/eV/f.u.
formation energy from raw total energies	-0.785	eV/atom
V	1192.1	Å³/cell

Cell: 6.8218 6.8218 29.5786 Å, 90.00 90.00 120.00°
Space group R-3 (No. 148, hexagonal axes)
Asymmetric unit:
Ca 0.0000 0.0000 0.0000 x3
Tl 0.0000 0.0000 0.5000 x3
Co 0.0000 0.0000 0.2496 x6
Br 0.0000 0.0000 0.1712 x6
Br 0.0050 0.6569 0.0591 x18